1.
Material: La8IrPtRh2
Method: DFT, PBE-GGA
State: relaxed

## Properties
- formation enthalpy at 0 K (eV/atom) = -0.624
- DOS at the Fermi energy (states/eV/cell) = 12.4

Structure (extended XYZ):
```
12
Lattice="-1.054 5.803 3.523 -5.054 1.696 -4.256 -5.621 -4.085 5.046" Properties=species:S:1:pos:R:3 pbc="T T T"
La -4.543 0.402 2.572
Rh -4.461 2.727 0.897
La -1.712 2.409 0.043
La -8.286 -0.850 1.129
Rh -7.268 0.688 3.416
La -5.409 1.241 -1.454
La -6.320 2.174 5.767
La -10.017 1.006 4.270
La -3.443 4.264 3.184
Pt -2.810 -2.042 2.523
Ir 0.000 0.000 0.000
La -7.186 3.012 1.741
```


2.
Material: Cd2SiP
Method: DFT, PBE-GGA
State: relaxed

## Properties
- relative energy among the computed polymorphs (eV/atom) = 0.4621
- DOS at the Fermi energy (states/eV/cell) = 1.8
- raw formation energy (eV/atom) = 0.527

Structure (extended XYZ):
```
4
Lattice="-3.743 1.302 -2.731 -4.425 -1.553 1.083 -3.277 3.077 1.719" Properties=species:S:1:pos:R:3 pbc="T T T"
Cd 0.000 0.000 0.000
Si -8.584 2.120 0.053
Cd -2.861 0.707 0.018
P -5.722 1.413 0.035
```


3.
Material: La7Pr2Tl2
Method: DFT, PBE-GGA
State: relaxed

## Properties
- formation enthalpy at 0 K (eV/atom) = 0.099
- DOS at the Fermi energy (states/eV/cell) = 15.2

Structure (extended XYZ):
```
11
Lattice="-2.890 3.034 -5.739 -7.475 2.155 4.915 4.007 3.876 4.407" Properties=species:S:1:pos:R:3 pbc="T T T"
La 0.000 0.000 0.000
La -6.065 6.464 -0.131
Pr -3.480 2.672 2.150
Tl -1.041 3.260 -3.018
La 0.264 6.054 3.048
La -0.294 2.602 3.713
La -5.521 5.208 3.333
La -6.623 3.012 0.535
Pr -2.879 6.393 1.433
Tl -5.318 5.805 6.600
La -0.838 3.857 0.250
```


4.
Material: SrGaTeOs2
Method: DFT, PBE-GGA
State: relaxed

## Properties
- DOS at the Fermi energy (states/eV/cell) = 5.8
- raw formation energy (eV/atom) = 1.041

Structure (extended XYZ):
```
5
Lattice="-3.226 3.158 -1.183 -3.659 -4.030 -0.782 -1.316 0.329 4.466" Properties=species:S:1:pos:R:3 pbc="T T T"
Te -4.100 -0.272 1.250
Sr -1.829 -2.015 -0.391
Ga 0.000 0.000 0.000
Os -0.658 0.164 2.233
Os -1.613 1.579 -0.592
```


5.
Material: Dy8YSn6
Method: DFT, PBE-GGA
State: relaxed

## Properties
- formation enthalpy at 0 K (eV/atom) = -0.543
- DOS at the Fermi energy (states/eV/cell) = 9.8

Structure (extended XYZ):
```
15
Lattice="9.024 0.000 0.000 4.512 7.815 0.000 4.512 2.605 6.490" Properties=species:S:1:pos:R:3 pbc="T T T"
Dy 9.024 5.210 0.001
Dy 7.523 7.816 2.064
Dy 9.024 5.210 6.489
Sn 7.521 7.816 5.180
Sn 7.519 2.605 5.180
Dy 6.017 5.213 4.426
Sn 6.016 5.211 1.310
Sn 10.529 7.815 1.310
Dy 7.518 2.607 2.064
Y 0.000 0.000 0.000
Dy 12.031 5.207 2.064
Sn 12.033 5.209 5.180
Sn 10.528 2.604 1.310
Dy 10.530 7.813 4.426
Dy 10.525 2.604 4.426
```


6.
Material: PrIn12Ir6
Method: DFT, PBE-GGA
State: relaxed

## Properties
- formation enthalpy at 0 K (eV/atom) = -0.117
- DOS at the Fermi energy (states/eV/cell) = 10.2

Structure (extended XYZ):
```
19
Lattice="7.858 -0.106 -0.149 -2.050 7.587 -0.149 -2.050 -2.641 7.114" Properties=species:S:1:pos:R:3 pbc="T T T"
In 5.646 3.384 0.647
Pr 0.000 0.000 0.000
Ir -0.571 3.580 5.041
In 4.280 2.830 3.986
Ir 3.610 0.334 5.041
In 5.646 -0.504 3.408
Ir 0.148 0.191 4.839
In 2.077 -0.008 2.831
In 2.077 2.675 0.926
In 1.879 -1.468 6.169
In 1.879 6.309 0.647
In 1.681 2.165 5.891
In -1.888 5.345 3.408
In -1.888 1.456 6.169
Ir 3.610 4.649 1.977
In -0.522 2.010 2.831
In 1.681 4.848 3.986
Ir 4.329 1.261 1.775
Ir 0.148 4.506 1.775
```


7.
Material: Tb2SmTm3As6
Method: DFT, PBE-GGA
State: relaxed

## Properties
- formation enthalpy at 0 K (eV/atom) = -1.518
- DOS at the Fermi energy (states/eV/cell) = 1.9

Structure (extended XYZ):
```
12
Lattice="4.116 0.000 0.000 0.000 8.219 0.299 -2.058 -2.364 8.646" Properties=species:S:1:pos:R:3 pbc="T T T"
As 0.000 1.824 5.906
Tm 0.000 6.058 3.127
As 2.058 -0.254 8.707
As 2.058 4.032 3.038
Tb 2.058 3.903 5.956
As 0.000 6.110 0.238
Tb 0.000 1.953 2.989
Tm 2.058 4.110 0.149
Sm 2.058 0.000 0.000
Tm 2.058 -0.202 5.818
As 0.000 5.987 5.998
As 2.058 -0.132 2.946
```


8.
Material: TmSi2Pd
Method: DFT, PBE-GGA
State: relaxed

## Properties
- DOS at the Fermi energy (states/eV/cell) = 6.2
- raw formation energy (eV/atom) = -0.803

Structure (extended XYZ):
```
16
Lattice="-2.287 2.768 -1.869 -4.885 -4.514 -0.708 -4.012 2.898 9.201" Properties=species:S:1:pos:R:3 pbc="T T T"
Tm -6.438 -1.359 -0.711
Si -3.758 -1.244 0.564
Si -5.250 -1.279 2.338
Pd -7.555 -0.460 1.987
Si -2.097 1.578 2.710
Tm -6.310 -0.379 4.968
Si -1.957 0.363 0.740
Si -9.227 0.790 5.884
Tm -4.745 2.512 7.334
Pd -3.644 0.736 -1.026
Pd -7.539 0.416 7.650
Si -9.087 -0.425 3.914
Pd -3.629 1.613 4.636
Si -7.426 2.396 6.059
Si -5.933 2.432 4.286
Tm -4.873 1.531 1.656
```


9.
Material: Re2HgW
Method: DFT, PBE-GGA
State: relaxed

## Properties
- formation enthalpy at 0 K (eV/atom) = 0.706
- DOS at the Fermi energy (states/eV/cell) = 4.1

Structure (extended XYZ):
```
4
Lattice="4.969 -0.008 0.000 1.782 4.639 0.000 -3.376 -2.316 2.817" Properties=species:S:1:pos:R:3 pbc="T T T"
Re 0.000 0.000 0.000
Hg 2.485 -0.004 1.409
W 3.376 2.316 0.000
Re 0.891 2.319 1.409
```


10.
Material: Pr3InAs
Method: DFT, PBE-GGA
State: relaxed

## Properties
- formation enthalpy at 0 K (eV/atom) = -0.723
- DOS at the Fermi energy (states/eV/cell) = 9.1

Structure (extended XYZ):
```
10
Lattice="-2.269 -1.972 -3.692 5.877 0.781 -4.029 2.966 -8.430 2.680" Properties=species:S:1:pos:R:3 pbc="T T T"
As 3.884 -4.243 -4.726
Pr 2.923 -1.503 -5.599
As 2.690 -5.378 -0.315
Pr 3.258 -6.722 -3.017
Pr 3.316 -2.898 -2.024
Pr 0.454 -3.281 -0.061
Pr 6.120 -6.340 -4.980
Pr 3.651 -8.118 0.557
In 6.362 -7.078 -1.664
In 0.211 -2.543 -3.377
```


11.
Material: GdSc2Tl
Method: DFT, PBE-GGA
State: relaxed

## Properties
- relative energy among the computed polymorphs (eV/atom) = 0.1291
- formation enthalpy at 0 K (eV/atom) = -0.058
- DOS at the Fermi energy (states/eV/cell) = 5.0

Structure (extended XYZ):
```
4
Lattice="3.387 0.000 0.000 1.694 2.934 0.000 1.694 0.978 10.552" Properties=species:S:1:pos:R:3 pbc="T T T"
Sc 1.694 0.978 2.508
Tl 0.000 0.000 0.000
Gd 3.387 1.956 5.276
Sc 5.081 2.934 8.044
```


12.
Material: Er4CoSn2
Method: DFT, PBE-GGA
State: relaxed

## Properties
- relative energy among the computed polymorphs (eV/atom) = 0.0853
- formation enthalpy at 0 K (eV/atom) = -0.409
- DOS at the Fermi energy (states/eV/cell) = 3.2

Structure (extended XYZ):
```
7
Lattice="-1.489 3.183 3.356 -2.583 -3.497 2.170 8.431 -1.708 1.844" Properties=species:S:1:pos:R:3 pbc="T T T"
Er 2.154 -1.380 5.782
Er -1.292 -1.748 1.085
Co 0.000 0.000 0.000
Sn 4.626 -1.349 3.332
Er -0.745 1.591 1.678
Er 2.204 -0.643 1.588
Sn -0.267 -0.673 4.038
```


13.
Material: ScMn3Si3
Method: DFT, PBE-GGA
State: relaxed

## Properties
- DOS at the Fermi energy (states/eV/cell) = 8.8
- raw formation energy (eV/atom) = 0.374

Structure (extended XYZ):
```
14
Lattice="-1.378 0.180 6.125 2.029 -5.911 0.630 5.782 2.116 1.239" Properties=species:S:1:pos:R:3 pbc="T T T"
Si 4.413 -3.375 1.091
Mn -0.182 -1.388 3.220
Sc 0.000 0.000 0.000
Si 3.398 -0.420 0.777
Mn 1.858 1.193 5.213
Mn 0.833 -4.343 3.535
Mn 2.547 1.103 2.151
Si 3.648 1.677 3.992
Mn 2.460 -2.426 0.624
Mn 5.351 -1.368 1.244
Si 0.670 -2.911 1.846
Sc 3.217 -1.807 3.997
Si -0.019 -2.821 4.909
Si 0.757 0.619 3.372
```


14.
Material: La2TcAgN
Method: DFT, PBE-GGA
State: relaxed

## Properties
- DOS at the Fermi energy (states/eV/cell) = 2.6
- raw formation energy (eV/atom) = -0.588

Structure (extended XYZ):
```
5
Lattice="-2.572 3.708 2.760 0.430 -2.953 4.368 3.405 1.737 0.840" Properties=species:S:1:pos:R:3 pbc="T T T"
La -1.286 1.854 1.380
Ag 0.631 1.246 3.983
N 0.000 0.000 0.000
La 0.215 -1.476 2.184
Tc 1.703 0.869 0.420
```


15.
Material: BaTl3Cd
Method: DFT, PBE-GGA
State: relaxed

## Properties
- formation enthalpy at 0 K (eV/atom) = -0.006
- DOS at the Fermi energy (states/eV/cell) = 2.5

Structure (extended XYZ):
```
5
Lattice="5.718 0.000 0.000 0.000 5.718 0.000 0.000 0.000 5.718" Properties=species:S:1:pos:R:3 pbc="T T T"
Tl 0.000 0.000 2.859
Ba 2.859 2.859 2.859
Tl 0.000 2.859 0.000
Cd 0.000 0.000 0.000
Tl 2.859 0.000 0.000
```


16.
Material: AcLaCuN2
Method: DFT, PBE-GGA
State: relaxed

## Properties
- DOS at the Fermi energy (states/eV/cell) = 3.6
- raw formation energy (eV/atom) = -0.602

Structure (extended XYZ):
```
10
Lattice="-1.375 -0.964 -4.134 -4.457 -3.494 2.297 -2.868 6.624 -0.590" Properties=species:S:1:pos:R:3 pbc="T T T"
Ac -4.089 -0.892 -2.436
N -5.018 0.297 0.352
Cu 0.000 0.000 0.000
N -1.586 -0.979 -0.493
La -1.354 1.209 -2.063
Cu -1.434 3.312 -0.295
N -7.114 3.145 -1.933
N -3.682 1.869 -2.777
La -2.889 4.451 -2.661
Ac -4.611 3.058 0.010
```


17.
Material: SbHPt2
Method: DFT, PBE-GGA
State: relaxed

## Properties
- relative energy among the computed polymorphs (eV/atom) = 0.4527
- DOS at the Fermi energy (states/eV/cell) = 3.0

Structure (extended XYZ):
```
4
Lattice="0.000 3.127 3.127 3.127 0.000 3.127 3.127 3.127 0.000" Properties=species:S:1:pos:R:3 pbc="T T T"
H 0.000 0.000 0.000
Sb 3.127 3.127 3.127
Pt 4.690 4.690 4.690
Pt 1.563 1.563 1.563
```


18.
Material: MgBe2Au
Method: DFT, PBE-GGA
State: relaxed

## Properties
- formation enthalpy at 0 K (eV/atom) = 0.170
- DOS at the Fermi energy (states/eV/cell) = 4.2

Structure (extended XYZ):
```
8
Lattice="4.101 0.000 0.000 0.000 4.101 0.000 2.051 2.051 8.198" Properties=species:S:1:pos:R:3 pbc="T T T"
Be 5.127 2.049 6.149
Au 4.101 2.051 4.099
Be 4.099 1.025 2.050
Be 4.103 3.076 2.050
Mg 2.051 2.051 0.000
Be 3.076 2.053 6.149
Au 0.000 0.000 0.000
Mg 2.051 4.101 4.099
```


19.
Material: La2Pm4Nd2Th
Method: DFT, PBE-GGA
State: relaxed

## Properties
- formation enthalpy at 0 K (eV/atom) = 0.012
- DOS at the Fermi energy (states/eV/cell) = 12.9

Structure (extended XYZ):
```
9
Lattice="3.691 0.000 0.000 -1.845 9.630 -0.442 0.000 -3.881 9.026" Properties=species:S:1:pos:R:3 pbc="T T T"
Pm 1.845 -0.925 2.911
Pm 1.845 3.518 5.750
Pm 0.000 6.675 5.673
Pm 0.000 2.232 2.835
Nd 0.000 0.266 5.878
Nd 1.845 5.484 2.706
La 1.845 3.121 -0.128
Th 0.000 0.000 0.000
La 0.000 2.629 8.712
```


20.
Material: Al2AgCS
Method: DFT, PBE-GGA
State: relaxed

## Properties
- DOS at the Fermi energy (states/eV/cell) = 1.1
- raw formation energy (eV/atom) = 0.489

Structure (extended XYZ):
```
5
Lattice="-1.848 -3.207 -1.247 2.971 -0.090 -4.171 2.589 -2.228 1.892" Properties=species:S:1:pos:R:3 pbc="T T T"
C 0.000 0.000 0.000
S 1.486 -0.045 -2.085
Ag 1.856 -2.762 -1.763
Al 1.295 -1.114 0.946
Al -0.924 -1.603 -0.624
```